VASP calculation (PBE) on a geometry-optimized NaLaOF2 structure.

Lattice parameters (Å, degrees): 3.9197 3.9197 4.4015 90.00 90.00 90.00
Last column: nearest neighbours and their distance in Å.
Fractional positions:
Na (0.0000, 0.0000, 0.0000)  4 F 1.96
La (0.5000, 0.5000, 0.5000)  4 O 2.77, 8 F 2.95
O (0.0000, 0.0000, 0.5000)  2 Na 2.20
F (0.0000, 0.5000, 0.0000)  2 Na 1.96
F (0.5000, 0.0000, 0.0000)  2 Na 1.96

M_tot, μB per formula unit: 0.0
Space group: P4/mmm
Polymorph energy (0 for the lowest one), eV/atom: 0.241

VASP calculation (PBE) on a geometry-optimized NaLaOF2 structure.

Lattice parameters (Å, degrees): 4.7756 4.7756 4.5558 90.00 90.00 90.00
Last column: nearest neighbours and their distance in Å.
Fractional positions:
Na (0.0000, 0.0000, 0.0000)  8 F 3.30, 4 O 3.38
La (0.5000, 0.5000, 0.5000)  2 O 2.28, 4 F 2.39
O (0.5000, 0.5000, 0.0000)  2 La 2.28
F (0.0000, 0.5000, 0.5000)  2 La 2.39
F (0.5000, 0.0000, 0.5000)  2 La 2.39

M_tot, μB per formula unit: 0.0
Space group: P4/mmm
Polymorph energy (0 for the lowest one), eV/atom: 0.000

VASP calculation (PBE) on a geometry-optimized Na2LaPbF structure.

Lattice parameters (Å, degrees): 4.8097 4.8097 5.2672 90.00 90.00 90.00
Last column: nearest neighbours and their distance in Å.
Fractional positions:
Na (0.0000, 0.5000, 0.0000)  2 F 2.40
Na (0.5000, 0.0000, 0.0000)  2 F 2.40
La (0.0000, 0.0000, 0.5000)  2 F 2.63
Pb (0.5000, 0.5000, 0.5000)  4 La 3.40, 8 Na 3.57
F (0.0000, 0.0000, 0.0000)  4 Na 2.40, 2 La 2.63

M_tot, μB per formula unit: 0.0
Space group: P4/mmm
Calculated total energy, eV/atom: -3.9094